(1)
# HfSiH2Se | Alexandria via LeMat-Bulk | PBE-GGA | relaxed
data_HfSiH2Se
_cell_length_a 3.684
_cell_length_b 3.684
_cell_length_c 5.614
_cell_angle_alpha 90.00
_cell_angle_beta 90.00
_cell_angle_gamma 90.00
_space_group_name_H-M_alt 'P 4/m m m'
_space_group_IT_number 123
_space_group_name_Hall '-P 4 2'
loop_
_atom_site_label
_atom_site_type_symbol
_atom_site_fract_x
_atom_site_fract_y
_atom_site_fract_z
Hf1 Hf 0.000 0.000 0.000
Si1 Si 0.000 0.000 0.500
H1 H 0.000 0.500 0.500
Se1 Se 0.500 0.500 0.000
# Uncorrected energy: -5.186 eV/atom
# Density of states at the Fermi level: 1.4 states/eV/f.u.

***

(2)
# HfTeHSe | Alexandria via LeMat-Bulk | PBE-GGA | relaxed
data_HfTeHSe
_cell_length_a 6.024
_cell_length_b 3.562
_cell_length_c 7.988
_cell_angle_alpha 90.00
_cell_angle_beta 104.79
_cell_angle_gamma 90.00
_space_group_name_H-M_alt 'C 1 m 1'
_space_group_IT_number 8
loop_
_space_group_symop_operation_xyz
'x,y,z'
'x,-y,z'
'x+1/2,y+1/2,z'
'x+1/2,-y+1/2,z'
loop_
_atom_site_label
_atom_site_type_symbol
_atom_site_fract_x
_atom_site_fract_y
_atom_site_fract_z
Hf1 Hf 0.000 0.000 0.000
Te1 Te 0.231 0.000 0.696
H1 H 0.157 0.500 0.975
Se1 Se 0.410 0.000 0.225
# Uncorrected energy: -5.754 eV/atom
# Density of states at the Fermi level: 1.4 states/eV/f.u.

***

(3)
# HfTlHSe2 | Alexandria via LeMat-Bulk | PBE-GGA | relaxed
data_HfTlHSe2
_cell_length_a 5.268
_cell_length_b 5.268
_cell_length_c 4.093
_cell_angle_alpha 90.00
_cell_angle_beta 90.00
_cell_angle_gamma 90.00
_space_group_name_H-M_alt 'P 4/m m m'
_space_group_IT_number 123
_space_group_name_Hall '-P 4 2'
loop_
_atom_site_label
_atom_site_type_symbol
_atom_site_fract_x
_atom_site_fract_y
_atom_site_fract_z
Hf1 Hf 0.000 0.000 0.000
Tl1 Tl 0.500 0.500 0.500
H1 H 0.000 0.000 0.500
Se1 Se 0.000 0.500 0.000
# Uncorrected energy: -5.158 eV/atom
# Density of states at the Fermi level: 1.2 states/eV/f.u.

***

(4)
# HfTl2HSe4 | Alexandria via LeMat-Bulk | PBE-GGA | relaxed
data_HfTl2HSe4
_cell_length_a 6.983
_cell_length_b 3.739
_cell_length_c 8.135
_cell_angle_alpha 90.00
_cell_angle_beta 110.75
_cell_angle_gamma 90.00
_space_group_name_H-M_alt 'P 1 2/m 1'
_space_group_IT_number 10
loop_
_space_group_symop_operation_xyz
'x,y,z'
'-x,-y,-z'
'-x,y,-z'
'x,-y,z'
loop_
_atom_site_label
_atom_site_type_symbol
_atom_site_fract_x
_atom_site_fract_y
_atom_site_fract_z
Hf1 Hf 0.000 0.000 0.000
Tl1 Tl 0.000 0.500 0.500
Tl2 Tl 0.500 0.000 0.500
H1 H 0.500 0.500 0.000
Se1 Se 0.207 0.500 0.217
Se2 Se 0.303 0.000 0.853
# Uncorrected energy: -4.325 eV/atom
# Density of states at the Fermi level: 3.2 states/eV/f.u.

***

(5)
# HfHW2Se | Alexandria via LeMat-Bulk | PBE-GGA | relaxed
data_HfHW2Se
_cell_length_a 5.119
_cell_length_b 5.119
_cell_length_c 5.006
_cell_angle_alpha 90.00
_cell_angle_beta 90.00
_cell_angle_gamma 90.00
_space_group_name_H-M_alt 'P 4/m m m'
_space_group_IT_number 123
_space_group_name_Hall '-P 4 2'
loop_
_atom_site_label
_atom_site_type_symbol
_atom_site_fract_x
_atom_site_fract_y
_atom_site_fract_z
Hf1 Hf 0.000 0.000 0.000
H1 H 0.500 0.500 0.500
W1 W 0.000 0.500 0.000
Se1 Se 0.000 0.000 0.500
# Uncorrected energy: -6.027 eV/atom
# Density of states at the Fermi level: 6.3 states/eV/f.u.

***

(6)
# Hf2ZrHSe | Alexandria via LeMat-Bulk | PBE-GGA | relaxed
data_Hf2ZrHSe
_cell_length_a 5.343
_cell_length_b 5.343
_cell_length_c 3.389
_cell_angle_alpha 90.00
_cell_angle_beta 90.00
_cell_angle_gamma 90.00
_space_group_name_H-M_alt 'P 4/m m m'
_space_group_IT_number 123
_space_group_name_Hall '-P 4 2'
loop_
_atom_site_label
_atom_site_type_symbol
_atom_site_fract_x
_atom_site_fract_y
_atom_site_fract_z
Hf1 Hf 0.000 0.500 0.000
Zr1 Zr 0.000 0.000 0.500
H1 H 0.500 0.500 0.500
Se1 Se 0.500 0.500 0.000
# Uncorrected energy: -6.817 eV/atom
# Density of states at the Fermi level: 5.3 states/eV/f.u.

***

(7)
# Hf2SiH | Alexandria via LeMat-Bulk | PBE-GGA | relaxed
data_Hf2SiH
_cell_length_a 3.6439
_cell_length_b 3.6439
_cell_length_c 20.1572
_cell_angle_alpha 90.00
_cell_angle_beta 90.00
_cell_angle_gamma 120.00
_space_group_name_H-M_alt 'R -3 m'
_space_group_IT_number 166
_space_group_name_Hall '-R 3 2"'
loop_
_atom_site_label
_atom_site_type_symbol
_atom_site_fract_x
_atom_site_fract_y
_atom_site_fract_z
Hf1 Hf 0.0000 0.0000 0.0907
Si1 Si 0.0000 0.0000 0.5000
H1 H 0.0000 0.0000 0.0000
# Uncorrected energy: -7.182 eV/atom
# Density of states at the Fermi level: 3.4 states/eV/f.u.
# Polymorph energy (0 for the lowest one): 719.0 meV/atom

***

(8)
# Hf2SiH | Alexandria via LeMat-Bulk | PBE-GGA | relaxed
data_Hf2SiH
_cell_length_a 6.524
_cell_length_b 6.524
_cell_length_c 5.428
_cell_angle_alpha 90.00
_cell_angle_beta 90.00
_cell_angle_gamma 90.00
_space_group_name_H-M_alt 'I 4/m c m'
_space_group_IT_number 140
_space_group_name_Hall '-I 4 2c'
loop_
_atom_site_label
_atom_site_type_symbol
_atom_site_fract_x
_atom_site_fract_y
_atom_site_fract_z
Hf1 Hf 0.164 0.336 0.000
Si1 Si 0.000 0.000 0.250
H1 H 0.000 0.500 0.250
# Uncorrected energy: -7.901 eV/atom
# Density of states at the Fermi level: 1.5 states/eV/f.u.
# Polymorph energy (0 for the lowest one): 0.0 meV/atom

***

(9)
# HfSiH | Alexandria via LeMat-Bulk | PBE-GGA | relaxed
data_HfSiH
_cell_length_a 3.615
_cell_length_b 10.027
_cell_length_c 3.983
_cell_angle_alpha 90.00
_cell_angle_beta 90.00
_cell_angle_gamma 90.00
_space_group_name_H-M_alt 'C m c m'
_space_group_IT_number 63
_space_group_name_Hall '-C 2c 2'
loop_
_atom_site_label
_atom_site_type_symbol
_atom_site_fract_x
_atom_site_fract_y
_atom_site_fract_z
Hf1 Hf 0.000 0.148 0.250
Si1 Si 0.000 0.435 0.250
H1 H 0.000 0.247 0.750
# Uncorrected energy: -6.646 eV/atom
# Density of states at the Fermi level: 0.6 states/eV/f.u.
# Polymorph energy (0 for the lowest one): 113.1 meV/atom

***

(10)
# Hf2SiH | Alexandria via LeMat-Bulk | PBE-GGA | relaxed
data_Hf2SiH
_cell_length_a 6.299
_cell_length_b 6.299
_cell_length_c 6.299
_cell_angle_alpha 90.00
_cell_angle_beta 90.00
_cell_angle_gamma 90.00
_space_group_name_H-M_alt 'F m -3 m'
_space_group_IT_number 225
_space_group_name_Hall '-F 4 2 3'
loop_
_atom_site_label
_atom_site_type_symbol
_atom_site_fract_x
_atom_site_fract_y
_atom_site_fract_z
Hf1 Hf 0.250 0.250 0.250
Si1 Si 0.000 0.000 0.000
H1 H 0.000 0.000 0.500
# Uncorrected energy: -7.265 eV/atom
# Density of states at the Fermi level: 2.6 states/eV/f.u.
# Polymorph energy (0 for the lowest one): 635.9 meV/atom

***

(11)
# HfSiH | Alexandria via LeMat-Bulk | PBE-GGA | relaxed
data_HfSiH
_cell_length_a 3.4252
_cell_length_b 3.4252
_cell_length_c 3.8923
_cell_angle_alpha 90.00
_cell_angle_beta 90.00
_cell_angle_gamma 120.00
_space_group_name_H-M_alt 'P -6 m 2'
_space_group_IT_number 187
_space_group_name_Hall 'P -6 2'
loop_
_atom_site_label
_atom_site_type_symbol
_atom_site_fract_x
_atom_site_fract_y
_atom_site_fract_z
Hf1 Hf 0.0000 0.0000 0.0000
Si1 Si 0.6667 0.3333 0.5000
H1 H 0.3333 0.6667 0.0000
# Uncorrected energy: -6.668 eV/atom
# Density of states at the Fermi level: 1.2 states/eV/f.u.
# Polymorph energy (0 for the lowest one): 91.2 meV/atom

***

(12)
# Hf2Si2H | Alexandria via LeMat-Bulk | PBE-GGA | relaxed
data_Hf2Si2H
_cell_length_a 3.361
_cell_length_b 3.361
_cell_length_c 14.580
_cell_angle_alpha 90.00
_cell_angle_beta 90.00
_cell_angle_gamma 90.00
_space_group_name_H-M_alt 'I 4/m m m'
_space_group_IT_number 139
_space_group_name_Hall '-I 4 2'
loop_
_atom_site_label
_atom_site_type_symbol
_atom_site_fract_x
_atom_site_fract_y
_atom_site_fract_z
Hf1 Hf 0.000 0.000 0.102
Si1 Si 0.000 0.500 0.250
H1 H 0.000 0.000 0.500
# Uncorrected energy: -6.649 eV/atom
# Density of states at the Fermi level: 3.6 states/eV/f.u.
# Polymorph energy (0 for the lowest one): 527.3 meV/atom